# PBE Pm3Ho2TmS6, relaxed
data_Pm3Ho2TmS6
_space_group_name_H-M_alt 'C 1 2/m 1'
_space_group_IT_number 12
_space_group_name_Hall '-C 2y'
_cell_length_a 6.788
_cell_length_b 11.799
_cell_length_c 6.921
_cell_angle_alpha 90.00
_cell_angle_beta 109.15
_cell_angle_gamma 90.00
loop_
_atom_site_label
_atom_site_fract_x
_atom_site_fract_y
_atom_site_fract_z
Pm1 0.000 0.000 0.000
Pm2 0.000 0.332 0.000
Ho1 0.000 0.167 0.500
Tm1 0.000 0.500 0.500
S1 0.243 0.335 0.734
S2 0.247 0.000 0.735
# Total energy in eV/atom: -6.39
# Spin magnetization in μB/f.u.: 0.00
# Formation energy from raw total energies in eV/atom: -2.01

=====

# PBE AcSbMo, relaxed
data_AcSbMo
_space_group_name_H-M_alt 'I 4 m m'
_space_group_IT_number 107
_space_group_name_Hall 'I 4 -2'
_cell_length_a 3.615
_cell_length_b 3.615
_cell_length_c 11.932
_cell_angle_alpha 90.00
_cell_angle_beta 90.00
_cell_angle_gamma 90.00
loop_
_atom_site_label
_atom_site_fract_x
_atom_site_fract_y
_atom_site_fract_z
Ac1 0.000 0.000 0.000
Sb1 0.000 0.000 0.285
Mo1 0.000 0.000 0.687
# ΔE to the lowest computed polymorph in meV/atom: 0
# Total energy in eV/atom: -6.35
# Spin magnetization in μB/f.u.: 0.00
# Formation energy from raw total energies in eV/atom: 0.00

=====

# PBE Ba6Bi2As, relaxed
data_Ba6Bi2As
_space_group_name_H-M_alt 'P 1 21/c 1'
_space_group_IT_number 14
_space_group_name_Hall '-P 2ybc'
_cell_length_a 8.000
_cell_length_b 10.931
_cell_length_c 11.454
_cell_angle_alpha 90.00
_cell_angle_beta 122.55
_cell_angle_gamma 90.00
loop_
_atom_site_label
_atom_site_fract_x
_atom_site_fract_y
_atom_site_fract_z
Ba1 0.120 0.132 0.459
Ba2 0.312 0.732 0.432
Ba3 0.324 0.037 0.181
Bi1 0.189 0.101 0.806
As1 0.500 0.000 0.500
# Total energy in eV/atom: -3.41
# Spin magnetization in μB/f.u.: 0.57
# Formation energy from the elements in eV/f.u.: -6.75

=====

# PBE MgIn2Cu, relaxed
data_MgIn2Cu
_space_group_name_H-M_alt 'P 1 2/m 1'
_space_group_IT_number 10
_space_group_name_Hall '-P 2y'
_cell_length_a 3.508
_cell_length_b 4.408
_cell_length_c 5.861
_cell_angle_alpha 90.00
_cell_angle_beta 107.36
_cell_angle_gamma 90.00
loop_
_atom_site_label
_atom_site_fract_x
_atom_site_fract_y
_atom_site_fract_z
Mg1 0.000 0.000 0.000
In1 0.359 0.500 0.731
Cu1 0.500 0.000 0.500
# Total energy in eV/atom: -2.73
# Spin magnetization in μB/f.u.: 0.00
# Formation energy from the elements in eV/f.u.: 0.26